The following is a DFT calculation (GGA-PBE) of a relaxed Pr4I5N2 crystal.

Cell: 3.9822 7.9928 13.5174 Å, 113.86 98.47 90.00°
With the nearest neighbours (Å) after each atom.
Fractional positions:
Pr 0.3986 0.1516 0.7972  2 N 2.48
Pr 0.9554 0.6104 0.9107  2 N 2.29-2.34
Pr 0.6014 0.8484 0.2028  2 N 2.48
Pr 0.0446 0.3896 0.0893  2 N 2.29-2.34
I 0.8203 0.2659 0.6406  3 Pr 3.28-3.53, 1 N 3.39
I 0.1797 0.7341 0.3594  3 Pr 3.28-3.53, 1 N 3.39
I 0.8550 0.7942 0.7101  3 Pr 3.28-3.55
I 0.5000 0.0000 0.0000  6 Pr 3.39-3.47
I 0.1450 0.2058 0.2899  3 Pr 3.28-3.55
N 0.9520 0.3129 0.9041  4 Pr 2.29-2.48
N 0.0480 0.6871 0.0959  4 Pr 2.29-2.48

Formation energy (no corrections) ... -1393 kJ/mol of formula units
V ... 388 Å³ per cell
Uncorrected energy ... -5.268 eV per atom
Energy above the most stable polymorph in this dataset ... 0.0 meV/atom